Ta2Mo5W2: optimized geometry, PBE-GGA.

Structure (POSCAR):
```
Ta2Mo5W2
1.0
-0.046 -4.932 -1.801
7.260 -2.288 6.080
-9.335 2.694 0.515
Ta Mo W
4 10 4
direct
0.963 0.000 0.000
0.407 0.500 0.000
0.185 0.250 0.500
0.685 0.750 0.500
0.049 0.140 0.797
0.253 0.860 0.203
0.685 0.250 0.000
0.685 0.750 0.000
0.320 0.360 0.203
0.117 0.640 0.797
0.958 0.461 0.402
0.556 0.539 0.598
0.814 0.961 0.402
0.412 0.039 0.598
0.587 0.138 0.256
0.330 0.862 0.744
0.039 0.638 0.256
0.783 0.362 0.744
```

## Properties
Symmetry: C2/c
Total magnetic moment in μB per formula unit: 0.00
ΔE_f in eV/atom: 0.24



Ta3Mo3W4: optimized geometry, PBE-GGA.

Structure (POSCAR):
```
Ta3Mo3W4
1.0
-2.660 0.190 1.842
-3.067 -5.509 -3.857
2.981 -4.770 4.796
Ta Mo W
3 3 4
direct
0.500 0.859 0.141
0.500 0.295 0.368
0.500 0.632 0.705
0.000 0.517 0.030
0.000 0.970 0.483
0.500 0.170 0.830
0.000 0.639 0.361
0.000 0.357 0.643
0.000 0.887 0.826
0.000 0.174 0.113
```

## Properties
Symmetry: Amm2
Total magnetic moment in μB per formula unit: 0.00
ΔE_f in eV/atom: 0.57



TaMoW3: optimized geometry, PBE-GGA.

Structure (POSCAR):
```
TaMoW3
1.0
-1.717 0.439 4.368
4.263 -0.952 1.771
1.047 4.596 -0.050
Mo W Ta
1 3 1
direct
0.500 0.500 0.500
0.000 0.500 0.000
0.000 0.000 0.500
0.500 0.000 0.000
0.000 0.000 0.000
```

## Properties
Symmetry: Pm-3m
Total magnetic moment in μB per formula unit: 0.00
Offset from the most stable computed form in meV/atom: 2067
ΔE_f in eV/atom: 2.46



TaMo5W2: optimized geometry, PBE-GGA.

Structure (POSCAR):
```
TaMo5W2
1.0
6.541 0.000 0.000
0.000 6.541 0.000
-3.271 -3.271 6.354
Ta Mo W
2 10 4
direct
0.750 0.750 0.500
0.250 0.250 0.500
0.500 0.687 0.687
0.813 0.000 0.313
0.000 0.000 0.000
0.500 0.500 0.000
0.187 0.000 0.687
0.687 0.187 0.687
0.000 0.500 0.687
0.313 0.813 0.313
0.000 0.500 0.313
0.500 0.313 0.313
0.142 0.358 0.000
0.642 0.142 0.000
0.358 0.858 0.000
0.858 0.642 0.000
```

## Properties
Symmetry: I4/mcm
Total magnetic moment in μB per formula unit: 0.00
Offset from the most stable computed form in meV/atom: 186
ΔE_f in eV/atom: 0.55



TaMo2W: optimized geometry, PBE-GGA.

Structure (POSCAR):
```
TaMo2W
1.0
-2.048 -3.776 -1.425
2.464 -3.455 -1.573
0.351 -3.813 2.413
Mo W Ta
2 1 1
direct
0.000 0.000 0.000
0.750 0.750 0.750
0.250 0.250 0.250
0.500 0.500 0.500
```

## Properties
Symmetry: F-43m
Total magnetic moment in μB per formula unit: 0.00
Offset from the most stable computed form in meV/atom: 48
ΔE_f in eV/atom: -0.10



TaMo8W3: optimized geometry, PBE-GGA.

Structure (POSCAR):
```
TaMo8W3
1.0
-2.649 -0.876 4.467
2.429 -3.426 -3.178
7.611 1.023 4.714
Ta Mo W
1 8 3
direct
0.000 0.000 0.000
0.331 0.669 0.000
0.500 0.500 0.250
0.833 0.167 0.252
0.669 0.331 0.000
0.167 0.833 0.748
0.500 0.500 0.750
0.833 0.167 0.748
0.167 0.833 0.252
0.000 0.000 0.500
0.667 0.333 0.500
0.333 0.667 0.500
```

## Properties
Symmetry: Cmmm
Total magnetic moment in μB per formula unit: 0.00
ΔE_f in eV/atom: -0.05